No. 1
Computed, not measured: crystalline PuTh2Sc6 at its relaxed geometry at the PBE level of DFT.

The structure in CIF format:
```
data_PuTh2Sc6
_chemical_formula_sum 'Pu1 Th2 Sc6'
_symmetry_space_group_name_H-M 'P 6/m m m'
_symmetry_Int_Tables_number 191
_symmetry_space_group_name_Hall '-P 6 2'
_cell_length_a 9.1639
_cell_length_b 9.1639
_cell_length_c 3.2748
_cell_angle_alpha 90.00
_cell_angle_beta 90.00
_cell_angle_gamma 120.00
loop_
_atom_site_label
_atom_site_fract_x
_atom_site_fract_y
_atom_site_fract_z
Pu1 0.0000 0.0000 0.0000
Th1 0.3333 0.6667 0.0000
Sc1 0.0000 0.3312 0.5000
```

Formation energy: 0.059 eV/atom

No. 2
Computed, not measured: crystalline ZrTlFe2 at its relaxed geometry at the PBE level of DFT.

The structure in CIF format:
```
data_ZrTlFe2
_chemical_formula_sum 'Zr1 Tl1 Fe2'
_symmetry_space_group_name_H-M 'P 4/m m m'
_symmetry_Int_Tables_number 123
_symmetry_space_group_name_Hall '-P 4 2'
_cell_length_a 4.371
_cell_length_b 4.371
_cell_length_c 3.489
_cell_angle_alpha 90.00
_cell_angle_beta 90.00
_cell_angle_gamma 90.00
loop_
_atom_site_label
_atom_site_fract_x
_atom_site_fract_y
_atom_site_fract_z
Zr1 0.000 0.000 0.000
Tl1 0.500 0.500 0.000
Fe1 0.000 0.500 0.500
```

Distance to the lowest polymorph of the same formula: 96 meV per atom
Formation energy: 0.234 eV/atom

No. 3
Computed, not measured: crystalline Rb4Tm3ScTe8 at its relaxed geometry at the PBE level of DFT.

The structure in CIF format:
```
data_Rb4Tm3ScTe8
_chemical_formula_sum 'Rb12 Tm9 Sc3 Te24'
_symmetry_space_group_name_H-M 'R -3 m'
_symmetry_Int_Tables_number 166
_symmetry_space_group_name_Hall '-R 3 2"'
_cell_length_a 8.8986
_cell_length_b 8.8986
_cell_length_c 25.5853
_cell_angle_alpha 90.00
_cell_angle_beta 90.00
_cell_angle_gamma 120.00
loop_
_atom_site_label
_atom_site_fract_x
_atom_site_fract_y
_atom_site_fract_z
Rb1 0.0000 0.0000 0.0000
Rb2 0.0000 0.5000 0.0000
Tm1 0.0000 0.5000 0.5000
Sc1 0.0000 0.0000 0.5000
Te1 0.0000 0.0000 0.2327
Te2 0.0075 0.5037 0.2313
```

Formation energy without anion corrections: -1325 meV per atom